(1)
Cs3PrPa2O9: relaxed, GGA-PBE.

```
Cs3PrPa2O9
1.0
6.423 0.000 0.000
-3.212 5.563 0.000
0.000 0.000 7.852
O Pa Cs Pr
9 2 3 1
Cartesian
3.212 3.591 5.345
0.000 1.972 2.507
1.504 4.577 2.507
1.708 0.986 5.345
3.212 0.000 0.000
4.716 0.986 5.345
1.606 2.781 0.000
-1.606 2.781 0.000
-1.504 4.577 2.507
3.212 1.854 6.567
0.000 3.709 1.285
0.000 3.709 5.212
3.212 1.854 2.640
0.000 0.000 0.000
0.000 0.000 3.926
```

Properties
Formation energy without anion corrections, meV/atom: -2662
Calculated volume, Å³/cell: 280.6

---

(2)
Pm3Sb: relaxed, GGA-PBE.

```
Pm3Sb
1.0
-0.746 -2.026 -3.529
5.617 -3.337 0.728
-6.049 -5.985 4.716
Pm Sb
6 2
Cartesian
-1.403 -3.746 1.235
-4.887 -6.053 3.297
0.224 -7.602 0.680
0.896 -3.803 -1.643
3.709 -5.295 -1.381
-2.074 -7.546 3.559
-2.946 -6.416 0.670
1.768 -4.933 1.246
```

Properties
Energy above the lowest structure with this stoichiometry, meV/atom: 92
Formation energy without anion corrections, meV/atom: -520
Calculated volume, Å³/cell: 260.9

---

(3)
TaTlS3Cl: relaxed, GGA-PBE.

```
TaTlS3Cl
1.0
5.506 -0.498 0.000
0.714 7.860 0.715
0.475 5.186 9.777
Tl Ta S Cl
2 2 6 2
Cartesian
1.759 4.076 4.633
4.936 8.473 5.859
4.615 4.919 8.875
2.081 7.630 1.617
6.528 10.796 10.309
3.793 11.044 10.309
2.059 7.392 3.798
0.167 1.752 0.183
2.903 1.505 0.183
4.636 5.157 6.694
2.255 9.524 6.991
4.440 3.024 3.501
```

Properties
Formation energy without anion corrections, meV/atom: -658
Calculated volume, Å³/cell: 406.0

---

(4)
PmNdSn4: relaxed, GGA-PBE.

```
PmNdSn4
1.0
-2.466 3.338 3.116
-4.359 -2.065 1.914
1.834 -2.423 8.004
Pm Sn Nd
1 4 1
Cartesian
-2.495 -0.575 6.517
-1.074 -1.662 9.162
-3.917 0.511 3.873
0.386 -1.325 5.350
-5.376 0.175 7.685
0.000 0.000 0.000
```

Properties
Formation energy from the elements, eV per atom: -0.22
Calculated volume, Å³/cell: 202.2

---

(5)
KNa2CdS: relaxed, GGA-PBE.

```
KNa2CdS
1.0
5.385 0.000 0.000
0.000 5.385 0.000
0.000 0.000 6.157
Na Cd S K
2 1 1 1
Cartesian
2.693 0.000 0.000
0.000 2.693 0.000
2.693 2.693 3.079
0.000 0.000 0.000
0.000 0.000 3.079
```

Properties
Formation energy without anion corrections, meV/atom: -486
Calculated volume, Å³/cell: 178.6

---

(6)
CrCd3Ga: relaxed, GGA-PBE.

```
CrCd3Ga
1.0
5.131 0.000 0.000
0.000 5.131 0.000
0.000 0.000 5.131
Cd Cr Ga
3 1 1
Cartesian
2.565 0.000 0.000
0.000 0.000 2.565
0.000 2.565 0.000
2.565 2.565 2.565
0.000 0.000 0.000
```

Properties
Energy above the lowest structure with this stoichiometry, meV/atom: 34
Formation energy from the elements, eV per atom: 0.69
Calculated volume, Å³/cell: 135.1

---

(7)
LaSc2Fe: relaxed, GGA-PBE.

```
LaSc2Fe
1.0
5.785 -0.029 -0.094
-2.498 5.244 0.043
0.789 0.938 2.984
Sc Fe La
2 1 1
Cartesian
0.000 0.000 0.000
3.287 0.454 1.445
-0.854 3.091 1.514
1.644 2.607 -0.025
```

Properties
Energy above the lowest structure with this stoichiometry, meV/atom: 438
Formation energy from the elements, eV per atom: 0.40
Calculated volume, Å³/cell: 90.7

---

(8)
TlAgAs: relaxed, GGA-PBE.

```
TlAgAs
1.0
6.184 0.002 -0.011
4.006 4.711 0.011
-4.782 -3.032 2.485
Tl As Ag
1 1 1
Cartesian
6.814 3.152 0.000
3.799 1.757 0.000
9.766 4.517 0.000
```

Properties
Energy above the lowest structure with this stoichiometry, meV/atom: 105
Formation energy from the elements, eV per atom: 0.18
Calculated volume, Å³/cell: 72.5

---

(9)
CrSb3Ir: relaxed, GGA-PBE.

```
CrSb3Ir
1.0
4.882 0.000 0.000
0.000 4.882 0.000
0.000 0.000 4.882
Sb Ir Cr
3 1 1
Cartesian
2.441 0.000 0.000
0.000 2.441 0.000
0.000 0.000 2.441
2.441 2.441 2.441
0.000 0.000 0.000
```

Properties
Energy above the lowest structure with this stoichiometry, meV/atom: 0
Formation energy without anion corrections, meV/atom: 901
Calculated volume, Å³/cell: 116.4

---

(10)
Sc2CuSn: relaxed, GGA-PBE.

```
Sc2CuSn
1.0
-1.574 2.936 -2.049
-4.008 -2.133 0.023
-1.101 2.109 3.867
Sc Sn Cu
2 1 1
Cartesian
-2.004 -1.067 0.011
-0.550 1.055 1.934
-0.787 1.468 -1.025
-3.341 1.456 0.920
```

Properties
Formation energy from the elements, eV per atom: -0.41
Calculated volume, Å³/cell: 80.6

---

(11)
Zr2ScAl: relaxed, GGA-PBE.

```
Zr2ScAl
1.0
3.193 0.000 0.000
0.000 3.193 0.000
0.000 0.000 8.431
Sc Al Zr
1 1 2
Cartesian
1.597 1.597 6.166
0.000 0.000 4.218
1.597 1.597 2.277
0.000 0.000 8.416
```

Properties
Formation energy from the elements, eV per atom: -0.22
Calculated volume, Å³/cell: 86.0

---

(12)
PuPdSe2O: relaxed, GGA-PBE.

```
PuPdSe2O
1.0
3.799 0.000 0.000
0.000 3.799 0.000
0.000 0.000 13.303
Se Pu Pd O
4 2 2 2
Cartesian
1.899 0.000 3.886
0.000 1.899 1.133
1.899 0.000 12.170
0.000 1.899 9.417
1.899 0.000 7.935
0.000 1.899 5.368
1.899 0.000 1.372
0.000 1.899 11.931
1.899 1.899 6.651
0.000 0.000 6.651
```

Properties
Formation energy without anion corrections, meV/atom: -1471
Calculated volume, Å³/cell: 192.0

---

(13)
TbPaMn2: relaxed, GGA-PBE.

```
TbPaMn2
1.0
3.372 0.000 0.000
0.000 3.372 0.000
0.000 0.000 6.950
Mn Pa Tb
2 1 1
Cartesian
0.000 0.000 1.403
0.000 0.000 5.547
1.686 1.686 0.000
1.686 1.686 3.475
```

Properties
Energy above the lowest structure with this stoichiometry, meV/atom: 29
Formation energy from the elements, eV per atom: 0.09
Calculated volume, Å³/cell: 79.0

---

(14)
Tb2Mg3In2: relaxed, GGA-PBE.

```
Tb2Mg3In2
1.0
3.495 0.000 0.000
0.000 4.739 0.000
0.000 -2.369 11.036
Tb In Mg
2 2 3
Cartesian
0.000 0.000 3.431
0.000 2.369 7.605
1.747 0.000 6.388
1.747 2.369 4.648
1.747 2.369 1.556
1.747 0.000 9.480
0.000 0.000 0.000
```

Properties
Formation energy from the elements, eV per atom: -0.21
Calculated volume, Å³/cell: 182.8

---

(15)
Sm6Er2Sc: relaxed, GGA-PBE.

```
Sm6Er2Sc
1.0
3.583 0.000 0.000
-1.792 3.103 0.000
0.000 0.000 26.354
Sm Er Sc
6 2 1
Cartesian
0.000 2.069 20.635
0.000 2.069 14.952
0.000 2.069 5.719
0.000 2.069 11.402
1.792 1.034 2.697
1.792 1.034 23.656
1.792 1.034 8.601
1.792 1.034 17.753
0.000 2.069 0.000
```

Properties
Energy above the lowest structure with this stoichiometry, meV/atom: 0
Formation energy from the elements, eV per atom: 0.06
Calculated volume, Å³/cell: 293.1

---

(16)
TbSmY6: relaxed, GGA-PBE.

```
TbSmY6
1.0
-0.519 6.573 -1.055
-1.602 4.035 5.112
6.137 4.375 2.956
Y Sm Tb
6 1 1
Cartesian
0.863 5.745 1.412
3.153 9.239 5.601
4.126 8.426 1.676
0.172 9.586 2.530
-0.110 6.558 5.337
3.845 5.398 4.484
0.000 0.000 0.000
2.008 7.492 3.507
```

Properties
Energy above the lowest structure with this stoichiometry, meV/atom: 546
Formation energy from the elements, eV per atom: 0.75
Calculated volume, Å³/cell: 276.3

---

(17)
Na4Te5Au2: relaxed, GGA-PBE.

```
Na4Te5Au2
1.0
-1.159 -2.850 1.189
6.412 -4.379 -4.249
5.294 1.548 8.873
Te Na Au
5 4 2
Cartesian
9.995 -2.683 3.310
3.206 -2.189 -2.125
1.711 -0.148 1.314
5.460 -2.099 0.290
6.246 -0.732 4.333
5.048 -4.841 -2.111
5.499 -0.840 7.923
7.108 -3.690 2.659
3.438 -1.992 3.153
3.908 0.516 5.048
7.798 -3.347 -0.424
```

Properties
Formation energy without anion corrections, meV/atom: -434
Calculated volume, Å³/cell: 303.0

---

(18)
Mg2TaSbCl: relaxed, GGA-PBE.

```
Mg2TaSbCl
1.0
4.471 0.000 0.000
0.000 5.840 0.000
0.000 0.000 4.471
Mg Sb Cl Ta
2 1 1 1
Cartesian
2.235 0.000 0.000
0.000 0.000 2.235
0.000 2.920 0.000
0.000 0.000 0.000
2.235 2.920 2.235
```

Properties
Formation energy without anion corrections, meV/atom: 686
Calculated volume, Å³/cell: 116.7

---

(19)
Re3Au: relaxed, GGA-PBE.

```
Re3Au
1.0
-1.423 0.573 2.322
2.137 -0.910 1.534
3.121 7.452 0.073
Au Re
1 3
Cartesian
0.000 0.000 0.000
2.646 5.297 1.982
1.189 1.818 1.948
1.561 3.726 0.037
```

Properties
Formation energy from the elements, eV per atom: 0.30
Calculated volume, Å³/cell: 62.6

---

(20)
MgZn2B2Rh5: relaxed, GGA-PBE.

```
MgZn2B2Rh5
1.0
2.903 0.000 0.000
0.000 9.440 0.000
0.000 0.000 9.440
B Rh Mg Zn
4 10 2 4
Cartesian
0.000 8.243 3.523
0.000 5.918 8.243
0.000 1.197 5.918
0.000 3.523 1.197
1.451 2.658 5.399
1.451 4.041 2.658
1.451 0.000 4.720
1.451 7.378 8.762
1.451 0.679 7.378
1.451 2.063 0.679
1.451 6.783 4.041
1.451 8.762 2.063
1.451 5.399 6.783
1.451 4.720 0.000
0.000 4.720 4.720
0.000 0.000 0.000
0.000 1.681 3.039
0.000 6.401 1.681
0.000 3.039 7.759
0.000 7.759 6.401
```

Properties
Formation energy from the elements, eV per atom: -0.39
Calculated volume, Å³/cell: 258.7

---

(21)
Rb3Dy3ThTe8: relaxed, GGA-PBE.

```
Rb3Dy3ThTe8
1.0
8.988 0.000 0.000
-4.494 7.783 -0.034
0.000 -5.157 8.728
Th Te Rb Dy
1 8 3 3
Cartesian
0.000 -2.578 4.364
-2.212 3.895 6.075
4.494 2.562 2.602
2.212 3.895 6.075
6.706 -1.268 2.619
0.000 0.065 6.092
4.494 0.023 6.076
2.282 -1.268 2.619
0.000 2.603 2.618
0.000 0.000 0.000
2.247 3.892 -0.017
-2.247 3.892 -0.017
2.247 1.313 4.347
4.494 -2.578 4.364
-2.247 1.313 4.347
```

Properties
Formation energy without anion corrections, meV/atom: -1357
Calculated volume, Å³/cell: 609.0

---

(22)
LiZnNiRu: relaxed, GGA-PBE.

```
LiZnNiRu
1.0
4.186 0.000 0.000
2.093 3.625 0.000
2.093 1.208 3.418
Li Ru Zn Ni
1 1 1 1
Cartesian
2.093 1.208 0.854
6.279 3.625 2.563
0.000 0.000 0.000
4.186 2.417 1.709
```

Properties
Formation energy from the elements, eV per atom: 0.04
Calculated volume, Å³/cell: 51.9

---

(23)
OsBrCl: relaxed, GGA-PBE.

```
OsBrCl
1.0
-3.537 -1.493 2.739
-2.745 -3.561 -1.425
0.281 -4.195 2.137
Cl Os Br
1 1 1
Cartesian
0.000 0.000 0.000
-3.000 -4.624 1.726
-4.501 -6.937 2.589
```

Properties
Energy above the lowest structure with this stoichiometry, meV/atom: 1516
Formation energy without anion corrections, meV/atom: 1817
Calculated volume, Å³/cell: 74.2

---

(24)
Rb2AlInNi: relaxed, GGA-PBE.

```
Rb2AlInNi
1.0
-4.129 1.627 -5.240
-2.361 -4.330 0.517
-4.406 2.925 4.380
Al Rb In Ni
1 2 1 1
Cartesian
0.000 0.000 0.000
-2.065 0.813 -2.620
-2.203 1.462 2.190
-1.181 -2.165 0.258
-5.448 0.111 -0.172
```

Properties
Formation energy from the elements, eV per atom: 0.86
Calculated volume, Å³/cell: 233.8

---

(25)
SrAsRh: relaxed, GGA-PBE.

```
SrAsRh
1.0
-1.597 -3.648 2.740
2.354 -4.222 0.015
2.498 -1.360 3.909
Sr As Rh
1 1 1
Cartesian
2.441 -6.923 4.998
0.000 0.000 0.000
1.627 -4.615 3.332
```

Properties
Formation energy from the elements, eV per atom: 0.41
Calculated volume, Å³/cell: 79.9

---

(26)
LiTc2Cl: relaxed, GGA-PBE.

```
LiTc2Cl
1.0
2.659 0.000 0.000
0.000 2.659 0.000
0.000 0.000 8.537
Li Cl Tc
1 1 2
Cartesian
1.329 1.329 6.402
1.329 1.329 2.134
0.000 0.000 0.006
0.000 0.000 4.262
```

Properties
Energy above the lowest structure with this stoichiometry, meV/atom: 1024
Formation energy without anion corrections, meV/atom: 839
Calculated volume, Å³/cell: 60.3